VASP calculation (PBE) on Ac5Te4P after structural relaxation.

Cell lengths 4.6639, 4.6639, 16.9720 Å; angles 97.90, 97.90, 90.00 degrees
Closest atoms and distances in Å follow each position.
Fractional positions:
Te 0.8060 0.8060 0.6119  6 Ac 3.32-3.47
Te 0.3981 0.3981 0.7962  6 Ac 3.32-3.43
P 0.0000 0.0000 0.0000  6 Ac 2.99-3.30
Ac 0.7048 0.7048 0.4097  6 Te 3.32-3.43
Ac 0.2952 0.2952 0.5903  6 Te 3.32-3.43
Ac 0.5000 0.5000 0.0000  4 P 3.30, 2 Te 3.39
Te 0.1940 0.1940 0.3881  6 Ac 3.32-3.47
Ac 0.0898 0.0898 0.1797  1 P 2.99, 4 Te 3.32
Ac 0.9102 0.9102 0.8203  1 P 2.99, 4 Te 3.32
Te 0.6019 0.6019 0.2038  6 Ac 3.32-3.43

Calculated values
DOS(E_F): 4.877 states/eV/f.u.
Total magnetic moment: 0.0 μB/f.u.
Formation energy (no corrections): -34.500 kcal/mol of atoms